Entry 1:
Entry from Alexandria: a relaxed Tb2NiOs crystal (GGA-PBE).

Unit cell a=3.410 b=3.410 c=6.840 alpha=90.00 beta=90.00 gamma=90.00
Space group P4/mmm (No. 123)
Unique sites:
Tb  0.000  0.000  0.248
Ni  0.500  0.500  0.500
Os  0.500  0.500  0.000

Computed properties:
- Energy relative to the elements: -0.261 eV per atom

Entry 2:
Entry from Alexandria: a relaxed KBaSr2Pd crystal (GGA-PBE).

Unit cell a=6.209 b=6.209 c=6.379 alpha=90.00 beta=90.00 gamma=90.00
Space group P4/mmm (No. 123)
Unique sites:
K  0.000  0.000  0.000
Ba  0.500  0.500  0.000
Sr  0.000  0.500  0.500
Pd  0.500  0.500  0.500

Computed properties:
- Energy relative to the elements: -0.249 eV per atom
- Relative energy among the computed polymorphs: 0.0 kJ per mole of atoms